Entry 1:
Entry from Alexandria: an optimized crystal structure of Tl5HgBi2 (PBE).

The calculation puts the energy relative to the lowest polymorph listed for this composition at 0 meV per atom. The calculation puts the magnetic moment at 0.00 μB per formula unit. The calculation puts the calculated formation energy at -0.04 eV per atom.

The structure belongs to space group C2/c (No. 15); the cell edges are 18.491, 5.558 and 9.947 Å and the angles 90.00°, 99.63° and 90.00°. The inequivalent atoms are Tl at (0.000, 0.248, 0.250), Tl at (0.068, 0.252, 0.939), Tl at (0.192, 0.251, 0.316), Hg at (0.250, 0.250, 0.000) and Bi at (0.121, 0.249, 0.625).

---

Entry 2:
Entry from Alexandria: an optimized crystal structure of TlHg2Bi (PBE).

The calculation puts the magnetic moment at 0.00 μB per formula unit. The calculation puts the calculated formation energy at 0.10 eV per atom.

The structure belongs to space group I-42d (No. 122); the cell edges are 8.624, 8.624 and 6.541 Å and the angles 90.00°, 90.00° and 90.00°. The inequivalent atoms are Tl at (0.000, 0.000, 0.000), Hg at (0.242, 0.750, 0.625) and Bi at (0.000, 0.000, 0.500).

---

Entry 3:
Entry from Alexandria: an optimized crystal structure of TlHgBi2 (PBE).

The calculation puts the magnetic moment at 0.00 μB per formula unit. The calculation puts the calculated formation energy at 0.16 eV per atom.

The structure belongs to space group R-3m (No. 166, hexagonal axes); the cell edges are 4.2384, 4.2384 and 24.4630 Å and the angles 90.00°, 90.00° and 120.00°. The inequivalent atoms are Tl at (0.0000, 0.0000, 0.0000), Hg at (0.0000, 0.0000, 0.5000) and Bi at (0.0000, 0.0000, 0.2419).

---

Entry 4:
Entry from Alexandria: an optimized crystal structure of TlHgBi2 (PBE).

The calculation puts the magnetic moment at 0.00 μB per formula unit. The calculation puts the calculated formation energy at 0.22 eV per atom.

The structure belongs to space group I-42d (No. 122); the cell edges are 6.713, 6.713 and 14.338 Å and the angles 90.00°, 90.00° and 90.00°. The inequivalent atoms are Tl at (0.000, 0.000, 0.000), Hg at (0.000, 0.000, 0.500) and Bi at (0.237, 0.250, 0.625).

---

Entry 5:
Entry from Alexandria: an optimized crystal structure of Tl2HgBi (PBE).

The calculation puts the energy relative to the lowest polymorph listed for this composition at 135 meV per atom. The calculation puts the magnetic moment at 0.00 μB per formula unit. The calculation puts the calculated formation energy at 0.10 eV per atom.

The structure belongs to space group Immm (No. 71); the cell edges are 4.399, 4.440 and 13.578 Å and the angles 90.00°, 90.00° and 90.00°. The inequivalent atoms are Tl at (0.000, 0.000, 0.235), Hg at (0.000, 0.000, 0.500) and Bi at (0.000, 0.000, 0.000).

---

Entry 6:
Entry from Alexandria: an optimized crystal structure of Tl2Hg5Bi (PBE).

The calculation puts the energy relative to the lowest polymorph listed for this composition at 128 meV per atom. The calculation puts the magnetic moment at 0.00 μB per formula unit. The calculation puts the calculated formation energy at 0.15 eV per atom.

The structure belongs to space group P4/mmm (No. 123); the cell edges are 7.087, 7.087 and 5.731 Å and the angles 90.00°, 90.00° and 90.00°. The inequivalent atoms are Tl at (0.000, 0.500, 0.000), Hg at (0.000, 0.000, 0.000), Hg at (0.297, 0.297, 0.500) and Bi at (0.000, 0.000, 0.500).

---

Entry 7:
Entry from Alexandria: an optimized crystal structure of Tl3Hg3Bi2 (PBE).

The calculation puts the magnetic moment at 0.00 μB per formula unit. The calculation puts the calculated formation energy at 0.03 eV per atom.

The structure belongs to space group P6_3/mcm (No. 193); the cell edges are 9.6821, 9.6821 and 6.5004 Å and the angles 90.00°, 90.00° and 120.00°. The inequivalent atoms are Tl at (0.0000, 0.3903, 0.2500), Hg at (0.0000, 0.2184, 0.7500) and Bi at (0.3333, 0.6667, 0.0000).

---

Entry 8:
Entry from Alexandria: an optimized crystal structure of Tl7HgBi2 (PBE).

The calculation puts the energy relative to the lowest polymorph listed for this composition at 142 meV per atom. The calculation puts the magnetic moment at 0.00 μB per formula unit. The calculation puts the calculated formation energy at 0.14 eV per atom.

The structure belongs to space group Cmmm (No. 65); the cell edges are 9.489, 16.144 and 5.358 Å and the angles 90.00°, 90.00° and 90.00°. The inequivalent atoms are Tl at (0.000, 0.000, 0.000), Tl at (0.000, 0.301, 0.500), Tl at (0.189, 0.385, 0.000), Hg at (0.000, 0.500, 0.500) and Bi at (0.000, 0.200, 0.000).

---

Entry 9:
Entry from Alexandria: an optimized crystal structure of TlHg3Bi (PBE).

The calculation puts the energy relative to the lowest polymorph listed for this composition at 92 meV per atom. The calculation puts the magnetic moment at 0.00 μB per formula unit. The calculation puts the calculated formation energy at 0.11 eV per atom.

The structure belongs to space group P-6m2 (No. 187); the cell edges are 6.3752, 6.3752 and 4.7651 Å and the angles 90.00°, 90.00° and 120.00°. The inequivalent atoms are Tl at (0.0000, 0.0000, 0.0000), Hg at (0.0259, 0.5129, 0.5000) and Bi at (0.6667, 0.3333, 0.0000).

---

Entry 10:
Entry from Alexandria: an optimized crystal structure of Tl3Hg5Bi12 (PBE).

The calculation puts the magnetic moment at 0.00 μB per formula unit. The calculation puts the calculated formation energy at 0.15 eV per atom.

The structure belongs to space group Ia-3d (No. 230); the cell edges are 20.475, 20.475 and 20.475 Å and the angles 90.00°, 90.00° and 90.00°. The inequivalent atoms are Tl at (0.000, 0.250, 0.125), Hg at (0.000, 0.000, 0.000), Hg at (0.000, 0.250, 0.375) and Bi at (0.019, 0.079, 0.143).

---

Entry 11:
Entry from Alexandria: an optimized crystal structure of TlHg5Bi (PBE).

The calculation puts the energy relative to the lowest polymorph listed for this composition at 0 meV per atom. The calculation puts the magnetic moment at 0.00 μB per formula unit. The calculation puts the calculated formation energy at 0.03 eV per atom.

The structure belongs to space group P-1 (No. 2); the cell edges are 6.501, 8.429 and 8.474 Å and the angles 97.66°, 112.47° and 103.07°. The inequivalent atoms are Tl at (0.191, 0.444, 0.364), Hg at (0.067, 0.835, 0.482), Hg at (0.091, 0.354, 0.924), Hg at (0.379, 0.618, 0.786), Hg at (0.391, 0.119, 0.387), Hg at (0.489, 0.728, 0.218), Bi at (0.000, 0.000, 0.000) and Bi at (0.500, 0.000, 0.000).

---

Entry 12:
Entry from Alexandria: an optimized crystal structure of TlHgBi2 (PBE).

The calculation puts the magnetic moment at 0.00 μB per formula unit. The calculation puts the calculated formation energy at 0.03 eV per atom.

The structure belongs to space group F-43m (No. 216); the cell edges are 7.916, 7.916 and 7.916 Å and the angles 90.00°, 90.00° and 90.00°. The inequivalent atoms are Tl at (0.000, 0.000, 0.000), Hg at (0.250, 0.250, 0.250), Bi at (0.000, 0.000, 0.500) and Bi at (0.250, 0.250, 0.750).

---

Entry 13:
Entry from Alexandria: an optimized crystal structure of Tl2Hg3Bi (PBE).

The calculation puts the energy relative to the lowest polymorph listed for this composition at 0 meV per atom. The calculation puts the magnetic moment at 0.00 μB per formula unit. The calculation puts the calculated formation energy at 0.00 eV per atom.

The structure belongs to space group Cm (No. 8); the cell edges are 12.135, 5.036 and 7.840 Å and the angles 90.00°, 130.06° and 90.00°. The inequivalent atoms are Tl at (0.000, 0.000, 0.000), Tl at (0.103, 0.000, 0.603), Hg at (0.214, 0.500, 0.426), Hg at (0.388, 0.000, 0.599), Hg at (0.400, 0.000, 0.210) and Bi at (0.212, 0.500, 0.014).

---

Entry 14:
Entry from Alexandria: an optimized crystal structure of Tl5Hg8Bi (PBE).

The calculation puts the magnetic moment at 0.00 μB per formula unit. The calculation puts the calculated formation energy at 0.01 eV per atom.

The structure belongs to space group I-4 (No. 82); the cell edges are 9.525, 9.525 and 9.330 Å and the angles 90.00°, 90.00° and 90.00°. The inequivalent atoms are Tl at (0.000, 0.000, 0.000), Tl at (0.112, 0.252, 0.631), Hg at (0.078, 0.324, 0.965), Hg at (0.082, 0.176, 0.297) and Bi at (0.000, 0.500, 0.250).

---

Entry 15:
Entry from Alexandria: an optimized crystal structure of Tl4Hg12Bi (PBE).

The calculation puts the magnetic moment at 0.00 μB per formula unit. The calculation puts the calculated formation energy at 0.02 eV per atom.

The structure belongs to space group Im-3m (No. 229); the cell edges are 9.951, 9.951 and 9.951 Å and the angles 90.00°, 90.00° and 90.00°. The inequivalent atoms are Tl at (0.250, 0.250, 0.250), Hg at (0.000, 0.000, 0.307), Hg at (0.000, 0.250, 0.500) and Bi at (0.000, 0.000, 0.000).

---

Entry 16:
Entry from Alexandria: an optimized crystal structure of Tl6Hg4Bi (PBE).

The calculation puts the energy relative to the lowest polymorph listed for this composition at 0 meV per atom. The calculation puts the magnetic moment at 0.00 μB per formula unit. The calculation puts the calculated formation energy at 0.02 eV per atom.

The structure belongs to space group I-42m (No. 121); the cell edges are 6.660, 6.660 and 15.879 Å and the angles 90.00°, 90.00° and 90.00°. The inequivalent atoms are Tl at (0.000, 0.500, 0.000), Tl at (0.202, 0.202, 0.326), Hg at (0.176, 0.176, 0.128) and Bi at (0.000, 0.000, 0.500).

---

Entry 17:
Entry from Alexandria: an optimized crystal structure of TlHg3Bi (PBE).

The calculation puts the energy relative to the lowest polymorph listed for this composition at 0 meV per atom. The calculation puts the magnetic moment at 0.00 μB per formula unit. The calculation puts the calculated formation energy at 0.01 eV per atom.

The structure belongs to space group C2/m (No. 12); the cell edges are 16.703, 5.734 and 6.298 Å and the angles 90.00°, 99.74° and 90.00°. The inequivalent atoms are Tl at (0.193, 0.000, 0.118), Hg at (0.001, 0.000, 0.745), Hg at (0.100, 0.500, 0.502), Hg at (0.201, 0.000, 0.622) and Bi at (0.094, 0.500, 0.000).

---

Entry 18:
Entry from Alexandria: an optimized crystal structure of Tl9HgBi2 (PBE).

The calculation puts the magnetic moment at 0.00 μB per formula unit. The calculation puts the calculated formation energy at -0.02 eV per atom.

The structure belongs to space group P4/mmm (No. 123); the cell edges are 5.024, 5.024 and 14.914 Å and the angles 90.00°, 90.00° and 90.00°. The inequivalent atoms are Tl at (0.000, 0.000, 0.000), Tl at (0.000, 0.000, 0.339), Tl at (0.000, 0.500, 0.171), Tl at (0.000, 0.500, 0.500), Hg at (0.500, 0.500, 0.000) and Bi at (0.500, 0.500, 0.329).

---

Entry 19:
Entry from Alexandria: an optimized crystal structure of Tl8Hg2Bi3 (PBE).

The calculation puts the energy relative to the lowest polymorph listed for this composition at 23 meV per atom. The calculation puts the magnetic moment at 0.00 μB per formula unit. The calculation puts the calculated formation energy at 0.03 eV per atom.

The structure belongs to space group C2/m (No. 12); the cell edges are 16.237, 9.153 and 5.990 Å and the angles 90.00°, 105.11° and 90.00°. The inequivalent atoms are Tl at (0.044, 0.000, 0.286), Tl at (0.146, 0.232, 0.710), Tl at (0.178, 0.500, 0.271), Hg at (0.217, 0.000, 0.153), Bi at (0.000, 0.311, 0.000) and Bi at (0.000, 0.500, 0.500).